The following is a DFT calculation (PBE) of CsHoS2 after structural relaxation.

Uncorrected energy   -0.386 Ry/atom

a b c (Å): 4.0798 4.0798 16.0721
angles (deg): 90.00 90.00 120.00
With the nearest neighbours (Å) after each atom.
Sites, in units of the cell vectors:
Cs 0.0000 0.0000 0.0000  6 S 3.47
Cs 0.3333 0.6667 0.5000  6 S 3.48
Ho 0.6667 0.3333 0.2496  6 S 2.77
Ho 0.6667 0.3333 0.7504  6 S 2.77
S 0.0000 0.0000 0.3403  3 Ho 2.77
S 0.0000 0.0000 0.6597  3 Ho 2.77
S 0.3333 0.6667 0.1585  3 Ho 2.77
S 0.3333 0.6667 0.8415  3 Ho 2.77